A relaxed La3Nd4Dy3 crystal, computed with PBE.

The structure in POSCAR format:
```
La3Nd4Dy3
1.0
3.845 0.000 0.000
0.000 6.812 6.774
0.000 -6.812 6.774
La Nd Dy
3 4 3
direct
0.000 0.000 0.000 La
0.500 0.173 0.663 La
0.500 0.663 0.173 La
0.500 0.044 0.302 Nd
0.500 0.302 0.044 Nd
0.500 0.542 0.542 Nd
0.500 0.795 0.795 Nd
0.000 0.341 0.341 Dy
0.000 0.499 0.838 Dy
0.000 0.838 0.499 Dy
```

Properties
Space group = Amm2
Electronic total energy = -46.8 eV/cell
Density = 6.93 Mg/m³
Magnetic moment = 0.0 μB per cell